The following is a GGA-PBE calculation of crystalline CsSmO3 at its relaxed geometry, from the Open Quantum Materials Database.

Unit cell a=6.511 b=6.511 c=6.511 alpha=60.12 beta=60.12 gamma=60.12
Sites, in units of the cell vectors:
O 0.750 0.249 0.251
O 0.251 0.750 0.249
O 0.749 0.250 0.751
O 0.249 0.251 0.750
Cs 0.250 0.250 0.250
Sm 0.000 0.000 0.000
Sm 0.500 0.500 0.500
O 0.250 0.751 0.749
O 0.751 0.749 0.250
Cs 0.750 0.750 0.750

Calculated values
V: 195.7 Å³/cell
VASP energy: -0.21532 hartree per atom
Space-group type: No. 167

***

The following is a GGA-PBE calculation of crystalline NaRe3Si5 at its relaxed geometry, from the Open Quantum Materials Database.

Unit cell a=5.338 b=5.338 c=6.307 alpha=90.00 beta=90.00 gamma=120.00
Sites, in units of the cell vectors:
Re 0.500 0.000 0.500
Re 0.500 0.500 0.500
Si 0.000 0.000 0.500
Si 0.667 0.333 0.815
Na 0.000 0.000 0.000
Si 0.333 0.667 0.185
Si 0.333 0.667 0.815
Si 0.667 0.333 0.185
Re 0.000 0.500 0.500

Calculated values
V: 155.6 Å³/cell
VASP energy: -0.26045 hartree per atom
Space-group type: No. 191

***

The following is a GGA-PBE calculation of crystalline YCoC2 at its relaxed geometry, from the Open Quantum Materials Database.

Unit cell a=3.587 b=3.748 c=3.748 alpha=105.90 beta=90.00 gamma=90.00
Sites, in units of the cell vectors:
C 0.500 0.848 0.458
C 0.500 0.542 0.152
Y 0.000 0.002 0.998
Co 0.500 0.385 0.615

Calculated values
V: 48.5 Å³/cell
VASP energy: -0.30652 hartree per atom
Space-group type: No. 38

***

The following is a GGA-PBE calculation of crystalline LuZn2Co at its relaxed geometry, from the Open Quantum Materials Database.

Unit cell a=4.491 b=4.491 c=4.491 alpha=60.00 beta=60.00 gamma=60.00
Last column: magnetic moment on the atom in μB.
Sites, in units of the cell vectors:
Lu 0.250 0.250 0.250  -0.03
Co 0.750 0.750 0.750  0.93
Zn 0.500 0.500 0.500  -0.01
Zn 0.000 0.000 0.000  -0.01

Calculated values
Formation energy: -0.095 eV per atom
V: 64.1 Å³/cell
VASP energy: -0.13359 hartree per atom
Space-group type: No. 225

***

The following is a GGA-PBE calculation of crystalline LiTcAs at its relaxed geometry, from the Open Quantum Materials Database.

Unit cell a=4.052 b=4.052 c=4.052 alpha=60.00 beta=60.00 gamma=60.00
Sites, in units of the cell vectors:
Tc 0.750 0.750 0.750
Li 0.250 0.250 0.250
As 0.000 0.000 0.000

Calculated values
V: 47.0 Å³/cell
E above lowest polymorph: 0 meV per atom
VASP energy: -0.21215 hartree per atom
Space-group type: No. 216

***

The following is a GGA-PBE calculation of crystalline CuAg4 at its relaxed geometry, from the Open Quantum Materials Database.

Unit cell a=4.988 b=4.993 c=7.612 alpha=71.05 beta=71.04 gamma=80.56
Sites, in units of the cell vectors:
Ag 0.245 0.853 0.549
Ag 0.755 0.147 0.451
Cu 0.744 0.950 0.853
Ag 0.250 0.655 0.952
Ag 0.251 0.239 0.759
Ag 0.251 0.453 0.345
Ag 0.749 0.547 0.655
Cu 0.256 0.050 0.147
Ag 0.749 0.761 0.241
Ag 0.750 0.345 0.048

Calculated values
Formation energy: 0.059 eV per atom
V: 169.2 Å³/cell
E above lowest polymorph: 34 meV per atom
VASP energy: -0.10820 hartree per atom
Space-group type: No. 2

***

The following is a GGA-PBE calculation of crystalline Ta3Te5Au at its relaxed geometry, from the Open Quantum Materials Database.

Unit cell a=5.885 b=5.885 c=8.296 alpha=90.00 beta=90.00 gamma=120.00
Sites, in units of the cell vectors:
Ta 0.500 0.500 0.500
Te 0.667 0.333 0.775
Te 0.667 0.333 0.225
Ta 0.500 0.000 0.500
Te 0.333 0.667 0.775
Te 0.000 0.000 0.500
Te 0.333 0.667 0.225
Au 0.000 0.000 0.000
Ta 0.000 0.500 0.500

Calculated values
V: 248.8 Å³/cell
VASP energy: -0.22302 hartree per atom
Space-group type: No. 191

***

The following is a GGA-PBE calculation of crystalline RbAg3PbSe4 at its relaxed geometry, from the Open Quantum Materials Database.

Unit cell a=6.730 b=6.730 c=6.730 alpha=90.00 beta=90.00 gamma=90.00
Sites, in units of the cell vectors:
Se 0.776 0.776 0.776
Se 0.224 0.224 0.776
Rb 0.500 0.500 0.500
Ag 0.000 0.500 0.000
Ag 0.500 0.000 0.000
Ag 0.000 0.000 0.500
Pb 0.000 0.000 0.000
Se 0.224 0.776 0.224
Se 0.776 0.224 0.224

Calculated values
V: 304.8 Å³/cell
VASP energy: -0.11851 hartree per atom
Space-group type: No. 215

***

The following is a GGA-PBE calculation of crystalline LuCuSnHg at its relaxed geometry, from the Open Quantum Materials Database.

Unit cell a=4.945 b=4.945 c=4.945 alpha=60.00 beta=60.00 gamma=60.00
Sites, in units of the cell vectors:
Cu 0.750 0.750 0.750
Sn 0.000 0.000 0.000
Hg 0.500 0.500 0.500
Lu 0.250 0.250 0.250

Calculated values
V: 85.5 Å³/cell
VASP energy: -0.12186 hartree per atom
Space-group type: No. 216

***

The following is a GGA-PBE calculation of crystalline TaNbSe4 at its relaxed geometry, from the Open Quantum Materials Database.

Unit cell a=3.466 b=3.466 c=13.320 alpha=90.00 beta=90.00 gamma=120.00
Last column: magnetic moment on the atom in μB.
Sites, in units of the cell vectors:
Se 0.333 0.667 0.873  0.00
Se 0.000 0.000 0.626  0.00
Nb 0.000 0.000 0.000  -0.01
Se 0.333 0.667 0.127  0.00
Se 0.000 0.000 0.374  0.00
Ta 0.333 0.667 0.500  -0.07

Calculated values
V: 138.6 Å³/cell
E above lowest polymorph: 3 meV per atom
VASP energy: -0.25028 hartree per atom
Space-group type: No. 187

***

The following is a GGA-PBE calculation of crystalline ScPaCu at its relaxed geometry, from the Open Quantum Materials Database.

Unit cell a=4.571 b=4.571 c=4.571 alpha=60.00 beta=60.00 gamma=60.00
Sites, in units of the cell vectors:
Sc 0.750 0.750 0.750
Cu 0.250 0.250 0.250
Pa 0.000 0.000 0.000

Calculated values
Formation energy: 0.964 eV per atom
V: 67.5 Å³/cell
E above lowest polymorph: 547 meV per atom
VASP energy: -0.20394 hartree per atom
Space-group type: No. 216

***

The following is a GGA-PBE calculation of crystalline LiCdIrW at its relaxed geometry, from the Open Quantum Materials Database.

Unit cell a=4.416 b=4.416 c=4.416 alpha=60.00 beta=60.00 gamma=60.00
Sites, in units of the cell vectors:
W 0.500 0.500 0.500
Li 0.750 0.750 0.750
Cd 0.000 0.000 0.000
Ir 0.250 0.250 0.250

Calculated values
V: 60.9 Å³/cell
E above lowest polymorph: 0 meV per atom
VASP energy: -0.22407 hartree per atom
Space-group type: No. 216